# 1
Computed, not measured: a geometry-optimized Fe2AsS structure at the PBE-GGA level of DFT.

For the total energy, the calculation gives -102.9 eV/cell. For the volume, the calculation gives 262 Å³/cell.

It has space group I-42d (No. 122), with a = 5.085 Å, b = 5.085 Å, c = 10.145 Å, α = 90.00°, β = 90.00° and γ = 90.00°. The inequivalent atoms are Fe at (0.221, 0.250, 0.125), As at (0.000, 0.000, 0.500) and S at (0.000, 0.000, 0.000).

=====

# 2
Computed, not measured: a geometry-optimized Ho12ErIn6 structure at the PBE-GGA level of DFT.

For the total energy, the calculation gives -239.2 eV/cell. For the volume, the calculation gives 1616 Å³/cell. Its energy of formation from the pure elements is -200 meV/atom.

It has space group R-3 (No. 148, hexagonal axes), with a = 11.3744 Å, b = 11.3744 Å, c = 14.4260 Å, α = 90.00°, β = 90.00° and γ = 120.00°. The inequivalent atoms are Ho at (0.0635, 0.2161, 0.4100), Ho at (0.0682, 0.8805, 0.8037), Er at (0.0000, 0.0000, 0.0000) and In at (0.0288, 0.5911, 0.7157).